# 1
Compound: BeInSb2
Source: Alexandria
Functional: PBEsol
Structure: optimized geometry

Cell lengths 3.324, 3.389, 7.917 Å; angles 90.00, 90.00, 90.00 degrees
Positions (direct):
Be (0.000, 0.000, 0.000)
In (0.000, 0.000, 0.500)
Sb (0.500, 0.500, 0.190)
Sb (0.500, 0.500, 0.810)

The energy above the most stable polymorph in this dataset comes out at 0.0514 eV/atom. Its density of states at the Fermi level is 0.5770 states/eV per atom. For the formation energy (no corrections), the calculation gives 1.29 eV per formula unit. The calculation puts the energy at -0.1361 hartree per atom.


# 2
Compound: TlIn3
Source: Alexandria
Functional: PBEsol
Structure: optimized geometry

Cell lengths 3.190, 5.111, 6.385 Å; angles 90.00, 90.00, 90.00 degrees
Positions (direct):
Tl (0.000, 0.000, 0.000)
In (0.000, 0.000, 0.500)
In (0.500, 0.500, 0.252)
In (0.500, 0.500, 0.748)

The value obtained for the formation enthalpy at 0 K is 0.01 eV/atom. Its density of states at the Fermi level is 0.4236 states/eV per atom. The calculation puts the energy at -0.1059 hartree per atom.


# 3
Compound: ZrIr2Pb
Source: Alexandria
Functional: PBEsol
Structure: optimized geometry

Cell lengths 4.000, 4.000, 8.748 Å; angles 90.00, 90.00, 90.00 degrees
Positions (direct):
Zr (0.000, 0.000, 0.000)
Zr (0.500, 0.500, 0.500)
Ir (0.000, 0.000, 0.500)
Ir (0.000, 0.500, 0.750)
Ir (0.500, 0.000, 0.250)
Ir (0.500, 0.500, 0.000)
Pb (0.000, 0.500, 0.250)
Pb (0.500, 0.000, 0.750)

The value obtained for the formation enthalpy at 0 K is -0.19 eV/atom. Its density of states at the Fermi level is 0.6312 states/eV per atom. The calculation puts the energy at -0.3076 hartree per atom.